! Sc2SiTc PBE-GGA optimized geometry; values from VASP
! * N(E_F): 1.84 states/eV/f.u.
! * raw total energy: -7.303 eV per atom
! * uncorrected formation energy: -0.19 eV per atom
&SYSTEM
  ibrav = 0, nat = 4, ntyp = 3
/
ATOMIC_SPECIES
Si 28.09 Si.upf
Sc 44.96 Sc.upf
Tc 98.00 Tc.upf
ATOMIC_POSITIONS angstrom
Si 5.9975 1.1459 0.6777
Sc 0.0786 0.0150 0.0089
Tc 17.9925 3.4377 2.0331
Sc 11.9164 2.2768 1.3465
CELL_PARAMETERS angstrom
8.3973 -0.0257 -0.0152
7.7963 3.1198 -0.0152
7.7963 1.4896 2.7412